{"formula": "Ce2AsIr", "functional": "GGA-PBE", "state": "optimized geometry", "polymorph_energy_ev_per_atom": 0.000, "n_ef_per_ev_atom": 2.18, "magmom_total_mub_per_fu": 0.99, "space_group": "R-3m, No. 166", "formation_enthalpy_0k_ev_per_atom": -0.9850, "cell": [[4.0580, 0.0000, 0.0000], [2.0290, 3.5143, 0.0000], [2.0290, 1.1714, 7.0144]], "species": ["As", "Ir", "Ce", "Ce"], "fractional_positions": [[0.0000, 0.0000, 0.0000], [0.5000, 0.5000, 0.5000], [0.2447, 0.2447, 0.2660], [0.7553, 0.7553, 0.7340]]}



{"formula": "Ce2AsIr", "functional": "GGA-PBE", "state": "optimized geometry", "polymorph_energy_ev_per_atom": 0.112, "n_ef_per_ev_atom": 2.06, "magmom_total_mub_per_fu": 1.48, "space_group": "R3m, No. 160", "formation_enthalpy_0k_ev_per_atom": -0.8730, "cell": [[3.9919, 0.0000, 0.0000], [1.9960, 3.4571, 0.0000], [1.9960, 1.1524, 7.2739]], "species": ["Ce", "Ce", "As", "Ir"], "fractional_positions": [[0.0859, 0.0859, 0.7424], [0.2480, 0.2480, 0.2559], [0.6671, 0.6671, 0.9986], [0.4990, 0.4990, 0.5031]]}



{"formula": "Ce6AsIr2", "functional": "GGA-PBE", "state": "optimized geometry", "n_ef_per_ev_atom": 2.41, "magmom_total_mub_per_fu": 1.62, "space_group": "C2/c, No. 15", "formation_enthalpy_0k_ev_per_atom": -0.5598, "cell": [[7.3390, 0.5593, 0.5414], [2.9205, 8.3188, 2.3265], [2.9205, 2.5948, 8.2390]], "species": ["Ce", "Ce", "Ce", "Ce", "Ce", "Ce", "Ce", "Ce", "Ce", "Ce", "Ce", "Ce", "As", "As", "Ir", "Ir", "Ir", "Ir"], "fractional_positions": [[0.4977, 0.6266, 0.5420], [0.0023, 0.4580, 0.3734], [0.5023, 0.3734, 0.4580], [0.9977, 0.5420, 0.6266], [0.7335, 0.9651, 0.4044], [0.7665, 0.5956, 0.0349], [0.2665, 0.0349, 0.5956], [0.2335, 0.4044, 0.9651], [0.2029, 0.7523, 0.0549], [0.2971, 0.9451, 0.2477], [0.7971, 0.2477, 0.9451], [0.7029, 0.0549, 0.7523], [0.2500, 0.1488, 0.8512], [0.7500, 0.8512, 0.1488], [0.0546, 0.8063, 0.6508], [0.4454, 0.3492, 0.1937], [0.9454, 0.1937, 0.3492], [0.5546, 0.6508, 0.8063]]}



{"formula": "Ce2As4Ir3", "functional": "GGA-PBE", "state": "optimized geometry", "n_ef_per_ev_atom": 1.30, "magmom_total_mub_per_fu": 1.38, "space_group": "Fmmm, No. 69", "formation_enthalpy_0k_ev_per_atom": -0.6775, "cell": [[5.7110, -0.1865, 0.0000], [-2.8193, 4.9701, 0.0000], [-1.4458, -2.3918, 6.2213]], "species": ["Ce", "Ce", "As", "As", "As", "As", "Ir", "Ir", "Ir"], "fractional_positions": [[0.6372, 0.6372, 0.2745], [0.3628, 0.3628, 0.7255], [0.0016, 0.6845, 0.6861], [0.6845, 0.0016, 0.6861], [0.9984, 0.3155, 0.3139], [0.3155, 0.9984, 0.3139], [0.5000, 0.0000, 0.0000], [0.0000, 0.0000, 0.0000], [0.0000, 0.5000, 0.0000]]}